A plane-wave DFT calculation with GGA-PBE was carried out for a relaxed structure of TlIn2Ru.

Cell: 7.1201 7.1201 7.1201 Å, 154.99 141.88 46.14°
With the nearest neighbours (Å) after each atom.
Atoms (fractional coordinates):
Ru: 0.7500 0.2500 0.5000  4 Tl 2.79, 4 In 2.84, 2 Ru 3.08
Tl: 0.2500 0.7500 0.5000  4 Ru 2.79, 2 Tl 3.08
In: 0.9318 0.9318 0.0000  2 Ru 2.84, 2 In 3.08
In: 0.5682 0.5682 0.0000  2 Ru 2.84, 2 In 3.08

Output
Its space group is No. 71. Its formation energy is 0.1952 eV per atom. The value obtained for the magnetic moment is 0.00 μB/f.u. The value obtained for the energy above the lowest structure with this stoichiometry is 97 meV per atom. As for the uncorrected energy: -16.34 eV per cell.